# ScI2Br PBE-GGA relaxed
# Calculated density, g cm⁻³: 3.59
# Excess energy over the best structure of this formula in the dataset, eV per atom: 0.021
# Crystal system: orthorhombic
data_ScI2Br
_chemical_formula_sum 'Sc1 I2 Br1'
_cell_length_a 3.7167
_cell_length_b 7.5494
_cell_length_c 7.5492
_cell_angle_alpha 59.46
_cell_angle_beta 75.74
_cell_angle_gamma 75.73
_space_group_name_H-M_alt 'P 1'
_space_group_IT_number 1
loop_
_space_group_symop_operation_xyz
'x,y,z'
loop_
_atom_site_label
_atom_site_fract_x
_atom_site_fract_y
_atom_site_fract_z
Br1 0.2499 0.1493 0.3507
I1 0.0967 0.8856 0.9207
I2 0.4034 0.5793 0.6144
Sc1 0.7500 0.8858 0.6142

# KAlI2Cl PBE-GGA relaxed
# Calculated density, g cm⁻³: 3.43
# E, eV for the cell shown: -14.7
# Crystal system: tetragonal
data_KAlI2Cl
_chemical_formula_sum 'K1 Al1 I2 Cl1'
_cell_length_a 5.8565
_cell_length_b 5.8565
_cell_length_c 5.0225
_cell_angle_alpha 90.00
_cell_angle_beta 90.00
_cell_angle_gamma 90.00
_space_group_name_H-M_alt 'P 1'
_space_group_IT_number 1
loop_
_space_group_symop_operation_xyz
'x,y,z'
loop_
_atom_site_label
_atom_site_fract_x
_atom_site_fract_y
_atom_site_fract_z
Cl1 0.0000 0.0000 0.5000
I1 0.5000 0.0000 0.0000
I2 0.0000 0.5000 0.0000
Al1 0.0000 0.0000 0.0000
K1 0.5000 0.5000 0.5000

# Sm3Al3Au2 PBE-GGA relaxed
# Energy relative to the elements, eV/atom: -0.6621
# Calculated density, g cm⁻³: 8.30
# Crystal system: orthorhombic
data_Sm3Al3Au2
_chemical_formula_sum 'Sm6 Al6 Au4'
_cell_length_a 4.5376
_cell_length_b 5.8572
_cell_length_c 15.1189
_cell_angle_alpha 90.00
_cell_angle_beta 90.00
_cell_angle_gamma 112.79
_space_group_name_H-M_alt 'P 1'
_space_group_IT_number 1
loop_
_space_group_symop_operation_xyz
'x,y,z'
loop_
_atom_site_label
_atom_site_fract_x
_atom_site_fract_y
_atom_site_fract_z
Sm1 0.3704 0.7409 0.7500
Sm2 0.6296 0.2591 0.2500
Sm3 0.9094 0.8187 0.3889
Sm4 0.9094 0.8187 0.1111
Sm5 0.0906 0.1813 0.8889
Sm6 0.0906 0.1813 0.6111
Al1 0.6176 0.2352 0.0347
Al2 0.6624 0.3248 0.7500
Al3 0.3376 0.6752 0.2500
Al4 0.3824 0.7648 0.9653
Al5 0.3824 0.7648 0.5347
Al6 0.6176 0.2352 0.4653
Au1 0.7992 0.5985 0.6022
Au2 0.2008 0.4015 0.1022
Au3 0.7992 0.5985 0.8978
Au4 0.2008 0.4015 0.3978